DFT (PBE-GGA) results for a geometry-optimized CaZn3Ni structure.

a b c (Å): 6.522 6.522 5.134
angles (deg): 90.00 90.00 126.48
Element x y z (fractional)
1 Ca 0.108 0.892 0.750
2 Ca 0.892 0.108 0.250
3 Zn 0.132 0.410 0.750
4 Zn 0.314 0.686 0.250
5 Zn 0.410 0.132 0.250
6 Zn 0.590 0.868 0.750
7 Zn 0.686 0.314 0.750
8 Zn 0.868 0.590 0.250
9 Ni 0.500 0.500 0.000
10 Ni 0.500 0.500 0.500

Summary:
magnetization: 0.000 Bohr magnetons per cell
symmetry: Cmcm (63)
energy above the lowest structure with this stoichiometry: 0.0 meV per atom
Fermi-level density of states: 2.32 states/eV/f.u.